Entry 1:
First-principles (PBE) data for TlReSnH2 after structural relaxation, as listed in Alexandria via LeMat-Bulk.

a = 3.8422 Å, b = 3.8422 Å, c = 6.7820 Å
α = 90.00°, β = 90.00°, γ = 90.00°
Space group P4/mmm (No. 123)
Inequivalent atoms, fractional coordinates:
Tl (0.0000, 0.0000, 0.0000) [1 per cell]
Re (0.5000, 0.5000, 0.5000) [1 per cell]
Sn (0.0000, 0.0000, 0.5000) [1 per cell]
H (0.0000, 0.5000, 0.0000) [2 per cell]

raw total energy = -20.01 eV for the cell shown

=====

Entry 2:
First-principles (PBE) data for Sr2ReH after structural relaxation, as listed in Alexandria via LeMat-Bulk.

a = 7.2267 Å, b = 7.2267 Å, c = 7.6348 Å
α = 90.00°, β = 90.00°, γ = 90.00°
Space group I-42d (No. 122)
Inequivalent atoms, fractional coordinates:
Sr (0.1681, 0.2500, 0.1250) [8 per cell]
Re (0.0000, 0.0000, 0.5000) [4 per cell]
H (0.0000, 0.0000, 0.0000) [4 per cell]

ΔE to the lowest computed polymorph = 0.000 eV per atom

=====

Entry 3:
First-principles (PBE) data for SrRe3H after structural relaxation, as listed in Alexandria via LeMat-Bulk.

a = 4.2165 Å, b = 4.2165 Å, c = 4.2165 Å
α = 90.00°, β = 90.00°, γ = 90.00°
Space group Pm-3m (No. 221)
Inequivalent atoms, fractional coordinates:
Sr (0.0000, 0.0000, 0.0000) [1 per cell]
Re (0.0000, 0.5000, 0.5000) [3 per cell]
H (0.5000, 0.5000, 0.5000) [1 per cell]

ΔE to the lowest computed polymorph = 0.000 eV per atom